1.
Below is crystalline La6Au2N at its relaxed geometry, with properties calculated at the PBE level.

The structure in POSCAR format:
```
La6Au2N
1.0
-6.2711 -2.1035 1.5646
0.5302 -5.4379 -5.1858
3.9837 -6.4778 7.1999
La Au N
12 4 2
Direct
0.8763 0.9733 0.2650
0.8318 0.7062 0.5541
0.8137 0.6741 0.9471
0.6863 0.1741 0.5529
0.6682 0.2062 0.9459
0.6237 0.4733 0.2350
0.1237 0.0267 0.7350
0.1682 0.2938 0.4459
0.1863 0.3259 0.0529
0.3137 0.8259 0.4471
0.3318 0.7938 0.0541
0.3763 0.5267 0.7650
0.9359 0.4013 0.7435
0.5641 0.9013 0.7565
0.4359 0.0987 0.2435
0.0641 0.5987 0.2565
0.5000 0.5000 0.0000
0.0000 0.0000 0.5000
```

Summary:
The value obtained for the uncorrected formation energy is -0.68 eV/atom. As for the symmetry: No. 14. The density of states at the Fermi level comes out at 19.17 states/eV/cell.



2.
Below is crystalline Mo2PbSe at its relaxed geometry, with properties calculated at the PBE level.

The structure in POSCAR format:
```
Mo2PbSe
1.0
-4.4171 1.2098 -1.5041
-2.9274 -0.5623 -3.7882
-3.0585 -4.5876 1.5646
Mo Pb Se
2 1 1
Direct
0.0114 0.0114 0.0206
0.7231 0.7231 0.8113
0.4904 0.4904 0.5369
0.2750 0.2750 0.1312
```

Summary:
The value obtained for the uncorrected formation energy is 0.33 eV/atom. Its energy above the most stable polymorph in this dataset is 195.2 meV per atom. As for the symmetry: No. 8. The density of states at the Fermi level comes out at 2.06 states/eV/cell.



3.
Below is crystalline NiAs2OsBr at its relaxed geometry, with properties calculated at the PBE level.

The structure in POSCAR format:
```
NiAs2OsBr
1.0
4.6792 0.0000 0.0000
0.0000 4.6792 0.0000
0.0000 0.0000 5.4529
Ni As Os Br
1 2 1 1
Direct
0.5000 0.5000 0.5000
0.0000 0.5000 0.0000
0.5000 0.0000 0.0000
0.0000 0.0000 0.0000
0.0000 0.0000 0.5000
```

Summary:
The value obtained for the uncorrected formation energy is 0.99 eV/atom. Its energy above the most stable polymorph in this dataset is 0.0 meV per atom. As for the symmetry: No. 123. The density of states at the Fermi level comes out at 6.29 states/eV/cell.



4.
Below is crystalline Ac2Tb2Sm7 at its relaxed geometry, with properties calculated at the PBE level.

The structure in POSCAR format:
```
Ac2Tb2Sm7
1.0
-0.1548 2.2509 -6.7462
2.8517 -8.6457 -2.9502
-5.6727 -2.9385 3.1283
Ac Tb Sm
2 2 7
Direct
0.7515 0.5000 0.7515
0.2485 0.5000 0.2485
0.7342 0.0000 0.2658
0.2658 0.0000 0.7342
0.9998 0.3109 0.5003
0.5003 0.6891 0.9998
0.0002 0.6891 0.4997
0.4997 0.3109 0.0002
0.0000 0.0000 0.0000
0.5002 0.8265 0.4998
0.4998 0.1735 0.5002
```

Summary:
As for the formation enthalpy at 0 K: 34.3 kJ per mole of atoms. Its energy above the most stable polymorph in this dataset is 30.6 meV per atom. As for the symmetry: No. 65. The density of states at the Fermi level comes out at 19.73 states/eV/cell.



5.
Below is crystalline K4BaAl at its relaxed geometry, with properties calculated at the PBE level.

The structure in POSCAR format:
```
K4BaAl
1.0
0.0000 5.4523 5.4523
5.4523 0.0000 5.4523
5.4523 5.4523 0.0000
K Ba Al
4 1 1
Direct
0.8694 0.3769 0.3769
0.3769 0.3769 0.8694
0.3769 0.8694 0.3769
0.3769 0.3769 0.3769
0.0000 0.0000 0.0000
0.7500 0.7500 0.7500
```

Summary:
As for the formation enthalpy at 0 K: 37.3 kJ per mole of atoms. As for the symmetry: No. 216. The density of states at the Fermi level comes out at 5.57 states/eV/cell.



6.
Below is crystalline Nd14HoTh at its relaxed geometry, with properties calculated at the PBE level.

The structure in POSCAR format:
```
Nd14HoTh
1.0
7.2546 0.9732 0.0000
-0.9735 7.2546 0.0000
0.0000 0.0000 10.4081
Nd Ho Th
14 1 1
Direct
0.3749 0.6251 0.5000
0.8751 0.1249 0.5000
0.8749 0.6249 0.0000
0.8750 0.6250 0.5000
0.3751 0.1251 0.0000
0.3750 0.1250 0.5000
0.6269 0.8769 0.7537
0.6269 0.8769 0.2463
0.1231 0.3731 0.7537
0.1231 0.3731 0.2463
0.1230 0.8770 0.7537
0.1230 0.8770 0.2463
0.6270 0.3730 0.7536
0.6270 0.3730 0.2464
0.3749 0.6251 0.0000
0.8751 0.1249 0.0000
```

Summary:
As for the formation enthalpy at 0 K: 2.2 kJ per mole of atoms. As for the symmetry: No. 123. The density of states at the Fermi level comes out at 23.84 states/eV/cell.



7.
Below is crystalline MnCrCd at its relaxed geometry, with properties calculated at the PBE level.

The structure in POSCAR format:
```
MnCrCd
1.0
-0.7664 4.0190 1.6758
-1.1136 -3.6051 2.3044
2.5850 -0.0169 1.2227
Cd Cr Mn
1 1 1
Direct
0.0000 0.0000 0.9942
0.6667 0.3333 0.4274
0.3333 0.6667 0.5784
```

Summary:
As for the formation enthalpy at 0 K: 38.2 kJ per mole of atoms. Its energy above the most stable polymorph in this dataset is 148.1 meV per atom. As for the symmetry: No. 156. The density of states at the Fermi level comes out at 2.18 states/eV/cell.